VASP calculation (PBE) on crystalline InAsO4F at its relaxed geometry.

Results
* volume: 205.2 Å³ per cell
* M_tot: 1.01 μB per formula unit
* formation energy without anion corrections: -1206 meV/atom

Geometry as POSCAR:
```
InAsO4F
1.0
4.377 -3.428 0.000
4.377 3.428 0.000
-1.327 0.000 6.838
In As O F
2 2 8 2
Direct
0.198 0.198 0.078 In
0.802 0.802 0.922 In
0.376 0.376 0.726 As
0.624 0.624 0.274 As
0.134 0.503 0.865 O
0.275 0.275 0.488 O
0.427 0.427 0.273 O
0.497 0.866 0.135 O
0.503 0.134 0.865 O
0.573 0.573 0.727 O
0.725 0.725 0.512 O
0.866 0.497 0.135 O
0.017 0.017 0.818 F
0.983 0.983 0.182 F
```


VASP calculation (PBE) on crystalline InAsP2F at its relaxed geometry.

Results
* volume: 94.4 Å³ per cell
* M_tot: 0.00 μB per formula unit
* formation energy without anion corrections: 506 meV/atom

Geometry as POSCAR:
```
InAsP2F
1.0
4.703 0.000 0.000
0.000 4.703 0.000
0.000 0.000 4.268
In As P F
1 1 2 1
Direct
0.000 0.000 0.000 In
0.500 0.500 0.000 As
0.000 0.500 0.500 P
0.500 0.000 0.500 P
0.500 0.500 0.500 F
```


VASP calculation (PBE) on crystalline InAsPt2F at its relaxed geometry.

Results
* volume: 93.2 Å³ per cell
* M_tot: 0.00 μB per formula unit
* formation energy without anion corrections: -449 meV/atom

Geometry as POSCAR:
```
InAsPt2F
1.0
4.808 0.000 0.000
0.000 4.808 0.000
0.000 0.000 4.030
In As Pt F
1 1 2 1
Direct
0.000 0.000 0.000 In
0.500 0.500 0.500 As
0.000 0.500 0.500 Pt
0.500 0.000 0.500 Pt
0.500 0.500 0.000 F
```


What did the second record say?
VASP calculation (PBE) on crystalline InAsP2F at its relaxed geometry.

Results
* volume: 94.4 Å³ per cell
* M_tot: 0.00 μB per formula unit
* formation energy without anion corrections: 506 meV/atom

Geometry as POSCAR:
```
InAsP2F
1.0
4.703 0.000 0.000
0.000 4.703 0.000
0.000 0.000 4.268
In As P F
1 1 2 1
Direct
0.000 0.000 0.000 In
0.500 0.500 0.000 As
0.000 0.500 0.500 P
0.500 0.000 0.500 P
0.500 0.500 0.500 F
```